## LiNd2HoSe5 (PBE-GGA)

Data for LiNd2HoSe5 after structural relaxation.

extended XYZ file:
```
18
Lattice="-1.886 3.267 -1.703 4.479 -3.577 -6.792 -9.847 -7.115 -2.748" Properties=species:S:1:pos:R:3 pbc="T T T"
Se -8.662 -3.947 -3.011
Se -4.486 -5.807 -6.174
Se -4.867 -2.445 -4.332
Se -7.894 -5.120 -6.112
Se -0.367 -0.692 -0.922
Se -7.266 -8.506 -8.272
Se -1.212 -3.644 -5.648
Se -3.368 -4.190 -9.340
Se 0.736 -3.963 -8.419
Se -1.003 -0.342 -4.576
Li -10.509 -5.403 -3.760
Li -1.302 -5.314 -8.754
Nd -6.140 -5.491 -8.766
Nd -5.990 -5.295 -3.527
Nd 0.007 -1.211 -7.362
Nd -2.035 -2.599 -2.734
Ho -3.748 -3.120 -6.866
Ho 1.367 -0.784 -3.017
```

Results
Its density is 6.4 Mg/m³. The energy relative to the elements, uncorrected comes out at -1753.0 meV/atom. For the total magnetization, the calculation gives 0.000 μB per atom. Its total energy is -98.45 eV for the cell shown.